# MnSi3O

A relaxed structure of MnSi3O (PBE+U, the Alexandria database).

E above lowest polymorph	3.43	eV/f.u.
volume	79	Å³/cell
density	3.271	Mg/m³
N(E_F)	7.596	states/eV/f.u.
raw total energy	-4.84	eV/atom

Lattice parameters (Å, degrees): 4.2869 4.2869 4.2869 90.00 90.00 90.00
Space group Pm-3m (No. 221)
One atom of each set of equivalent atoms:
Mn: 0.0000 0.0000 0.0000 (multiplicity 1)
Si: 0.0000 0.0000 0.5000 (multiplicity 3)
O: 0.5000 0.5000 0.5000 (multiplicity 1)